(1)
Pm7Sn3Pb: relaxed, PBE-GGA.

Summary:
- Calculated formation energy: -0.3945 eV per atom
- Density: 7.6 Mg/m³

```
11
Lattice="6.035 -0.058 -0.074 -2.949 7.671 0.176 -2.949 -1.689 7.485" Properties=species:S:1:pos:R:3 pbc="T T T"
Pm 0.022 1.003 1.285
Pm 0.044 -0.481 4.466
Pm 0.094 1.475 6.971
Pm 0.044 4.449 0.616
Pm -2.949 2.991 3.830
Pm 0.094 6.405 3.121
Pm 0.116 4.920 6.301
Sn -2.949 5.471 1.894
Sn 3.018 -0.029 -0.037
Sn -2.949 0.511 5.767
Pb 0.069 2.962 3.793
```

(2)
ZrAlF2: relaxed, PBE-GGA.

Summary:
- E_form (uncorrected): -1.134 eV/atom
- Density: 4.5 Mg/m³
- E above lowest polymorph: 0.706 eV per atom

```
4
Lattice="0.992 -3.457 -2.439 -3.155 -2.616 -1.447 -1.019 -0.044 -4.225" Properties=species:S:1:pos:R:3 pbc="T T T"
Al 0.000 0.000 0.000
Zr -1.591 -3.058 -4.055
F -0.795 -1.529 -2.028
F -2.386 -4.587 -6.083
```